No. 1
# PBE DyScRh, relaxed
# N(E_F) = 3.29 states/eV/f.u.
# energy relative to the lowest polymorph listed for this composition = 123.3 meV per atom
# energy relative to the elements = -572 meV/atom
# final energy = -6.67 eV/atom
# magnetization = 0.00 Bohr magnetons per cell
# ρ = 7.18 g/cm3
data_DyScRh
_symmetry_space_group_name_H-M 'F -4 3 m'
_symmetry_Int_Tables_number 216
_symmetry_space_group_name_Hall 'F -4 2 3'
_cell_length_a 6.596
_cell_length_b 6.596
_cell_length_c 6.596
_cell_angle_alpha 90.00
_cell_angle_beta 90.00
_cell_angle_gamma 90.00
loop_
_atom_site_label
_atom_site_type_symbol
_atom_site_fract_x
_atom_site_fract_y
_atom_site_fract_z
Dy1 Dy 0.000 0.000 0.000
Sc1 Sc 0.000 0.000 0.500
Rh1 Rh 0.250 0.250 0.250



No. 2
# PBE CeTh2Ni9, relaxed
# N(E_F) = 7.99 states/eV/f.u.
# energy relative to the elements = -403 meV/atom
# final energy = -6.47 eV/atom
# magnetization = 0.00 Bohr magnetons per cell
# ρ = 10.42 g/cm3
data_CeTh2Ni9
_symmetry_space_group_name_H-M 'R -3 m'
_symmetry_Int_Tables_number 166
_symmetry_space_group_name_Hall '-R 3 2"'
_cell_length_a 4.9927
_cell_length_b 4.9927
_cell_length_c 25.0685
_cell_angle_alpha 90.00
_cell_angle_beta 90.00
_cell_angle_gamma 120.00
loop_
_atom_site_label
_atom_site_type_symbol
_atom_site_fract_x
_atom_site_fract_y
_atom_site_fract_z
Ce1 Ce 0.0000 0.0000 0.0000
Th1 Th 0.0000 0.0000 0.1359
Ni1 Ni 0.0000 0.0000 0.3333
Ni2 Ni 0.0000 0.0000 0.5000
Ni3 Ni 0.0011 0.5005 0.9185



No. 3
# PBE Th2ZnPt9, relaxed
# N(E_F) = 7.01 states/eV/f.u.
# energy relative to the elements = -853 meV/atom
# final energy = -6.73 eV/atom
# magnetization = 0.00 Bohr magnetons per cell
# ρ = 17.80 g/cm3
data_Th2ZnPt9
_symmetry_space_group_name_H-M 'P 4/m m m'
_symmetry_Int_Tables_number 123
_symmetry_space_group_name_Hall '-P 4 2'
_cell_length_a 4.174
_cell_length_b 4.174
_cell_length_c 12.234
_cell_angle_alpha 90.00
_cell_angle_beta 90.00
_cell_angle_gamma 90.00
loop_
_atom_site_label
_atom_site_type_symbol
_atom_site_fract_x
_atom_site_fract_y
_atom_site_fract_z
Th1 Th 0.000 0.000 0.177
Zn1 Zn 0.000 0.000 0.500
Pt1 Pt 0.000 0.500 0.000
Pt2 Pt 0.000 0.500 0.349
Pt3 Pt 0.500 0.500 0.174
Pt4 Pt 0.500 0.500 0.500



No. 4
# PBE Ba3IrCl, relaxed
# N(E_F) = 5.65 states/eV/f.u.
# energy relative to the lowest polymorph listed for this composition = 308.2 meV per atom
# final energy = -3.80 eV/atom
# magnetization = 0.00 Bohr magnetons per cell
# ρ = 4.61 g/cm3
# raw formation energy = -0.506 eV per atom
data_Ba3IrCl
_symmetry_space_group_name_H-M 'P m -3 m'
_symmetry_Int_Tables_number 221
_symmetry_space_group_name_Hall '-P 4 2 3'
_cell_length_a 6.133
_cell_length_b 6.133
_cell_length_c 6.133
_cell_angle_alpha 90.00
_cell_angle_beta 90.00
_cell_angle_gamma 90.00
loop_
_atom_site_label
_atom_site_type_symbol
_atom_site_fract_x
_atom_site_fract_y
_atom_site_fract_z
Ba1 Ba 0.000 0.000 0.500
Ir1 Ir 0.000 0.000 0.000
Cl1 Cl 0.500 0.500 0.500



No. 5
# PBE CePmGdMg, relaxed
# N(E_F) = 10.53 states/eV/f.u.
# energy relative to the elements = 135 meV/atom
# final energy = -6.46 eV/atom
# magnetization = 37.39 Bohr magnetons per cell
# ρ = 6.41 g/cm3
data_CePmGdMg
_symmetry_space_group_name_H-M 'F -4 3 m'
_symmetry_Int_Tables_number 216
_symmetry_space_group_name_Hall 'F -4 2 3'
_cell_length_a 7.849
_cell_length_b 7.849
_cell_length_c 7.849
_cell_angle_alpha 90.00
_cell_angle_beta 90.00
_cell_angle_gamma 90.00
loop_
_atom_site_label
_atom_site_type_symbol
_atom_site_fract_x
_atom_site_fract_y
_atom_site_fract_z
Ce1 Ce 0.000 0.000 0.000
Pm1 Pm 0.250 0.250 0.750
Gd1 Gd 0.250 0.250 0.250
Mg1 Mg 0.000 0.000 0.500



No. 6
# PBE CsP2RuS, relaxed
# N(E_F) = 5.13 states/eV/f.u.
# final energy = -4.86 eV/atom
# magnetization = 0.00 Bohr magnetons per cell
# ρ = 4.65 g/cm3
# raw formation energy = 0.158 eV per atom
data_CsP2RuS
_symmetry_space_group_name_H-M 'P 4/m m m'
_symmetry_Int_Tables_number 123
_symmetry_space_group_name_Hall '-P 4 2'
_cell_length_a 4.595
_cell_length_b 4.595
_cell_length_c 5.547
_cell_angle_alpha 90.00
_cell_angle_beta 90.00
_cell_angle_gamma 90.00
loop_
_atom_site_label
_atom_site_type_symbol
_atom_site_fract_x
_atom_site_fract_y
_atom_site_fract_z
Cs1 Cs 0.000 0.000 0.000
P1 P 0.000 0.500 0.500
Ru1 Ru 0.500 0.500 0.500
S1 S 0.500 0.500 0.000



Copy entry 4 word for word.
# PBE Ba3IrCl, relaxed
# N(E_F) = 5.65 states/eV/f.u.
# energy relative to the lowest polymorph listed for this composition = 308.2 meV per atom
# final energy = -3.80 eV/atom
# magnetization = 0.00 Bohr magnetons per cell
# ρ = 4.61 g/cm3
# raw formation energy = -0.506 eV per atom
data_Ba3IrCl
_symmetry_space_group_name_H-M 'P m -3 m'
_symmetry_Int_Tables_number 221
_symmetry_space_group_name_Hall '-P 4 2 3'
_cell_length_a 6.133
_cell_length_b 6.133
_cell_length_c 6.133
_cell_angle_alpha 90.00
_cell_angle_beta 90.00
_cell_angle_gamma 90.00
loop_
_atom_site_label
_atom_site_type_symbol
_atom_site_fract_x
_atom_site_fract_y
_atom_site_fract_z
Ba1 Ba 0.000 0.000 0.500
Ir1 Ir 0.000 0.000 0.000
Cl1 Cl 0.500 0.500 0.500